No. 1
Computed, not measured: a relaxed structure of KLa3Bi at the GGA-PBE level of DFT.

**D(E_F)**: 5.01 states/eV per cell
**Total moment**: 0.00 μB/f.u.
**E above lowest polymorph**: 616 meV/atom
**Space-group type**: Pm-3m (221)

a = 5.5785 Å, b = 5.5785 Å, c = 5.5785 Å
α = 90.00°, β = 90.00°, γ = 90.00°
Closest atoms and distances in Å follow each position.
Fractional coordinates of all 5 atoms:
K 0.0000 0.0000 0.0000  6 La 2.79
La 0.0000 0.0000 0.5000  2 K 2.79
La 0.0000 0.5000 0.0000  2 K 2.79
La 0.5000 0.0000 0.0000  2 K 2.79
Bi 0.5000 0.5000 0.5000  12 La 3.94

=====

No. 2
Computed, not measured: a relaxed structure of KLaBi2 at the GGA-PBE level of DFT.

**D(E_F)**: 2.27 states/eV per cell
**Total moment**: 0.00 μB/f.u.
**E above lowest polymorph**: 89 meV/atom
**Space-group type**: P4/mmm (123)

a = 5.4313 Å, b = 5.4313 Å, c = 4.5882 Å
α = 90.00°, β = 90.00°, γ = 90.00°
Closest atoms and distances in Å follow each position.
Fractional coordinates of all 4 atoms:
K 0.0000 0.0000 0.0000  8 Bi 3.55, 4 La 3.84
La 0.5000 0.5000 0.0000  8 Bi 3.55, 4 K 3.84
Bi 0.0000 0.5000 0.5000  4 La 3.55, 4 K 3.55, 4 Bi 3.84
Bi 0.5000 0.0000 0.5000  4 La 3.55, 4 K 3.55, 4 Bi 3.84

=====

No. 3
Computed, not measured: a relaxed structure of KLa3Bi at the GGA-PBE level of DFT.

**D(E_F)**: 9.47 states/eV per cell
**Total moment**: 2.40 μB/f.u.
**E above lowest polymorph**: 0 meV/atom
**Space-group type**: Pm-3m (221)

a = 6.3156 Å, b = 6.3156 Å, c = 6.3156 Å
α = 90.00°, β = 90.00°, γ = 90.00°
Closest atoms and distances in Å follow each position.
Fractional coordinates of all 5 atoms:
K 0.0000 0.0000 0.0000  12 La 4.47
La 0.0000 0.5000 0.5000  2 Bi 3.16
La 0.5000 0.0000 0.5000  2 Bi 3.16
La 0.5000 0.5000 0.0000  2 Bi 3.16
Bi 0.5000 0.5000 0.5000  6 La 3.16

=====

No. 4
Computed, not measured: a relaxed structure of K2LaBi2 at the GGA-PBE level of DFT.

**D(E_F)**: 5.90 states/eV per cell
**Total moment**: 0.00 μB/f.u.
**DFT total energy**: -3.36 eV/atom
**Space-group type**: P4/mbm (127)

a = 8.4944 Å, b = 8.4944 Å, c = 5.8121 Å
α = 90.00°, β = 90.00°, γ = 90.00°
Closest atoms and distances in Å follow each position.
Fractional coordinates of all 10 atoms:
K 0.1625 0.3375 0.0000  6 Bi 3.81-3.84, 1 K 3.90
K 0.3375 0.8375 0.0000  6 Bi 3.81-3.84, 1 K 3.90
K 0.6625 0.1625 0.0000  6 Bi 3.81-3.84, 1 K 3.90
K 0.8375 0.6625 0.0000  6 Bi 3.81-3.84, 1 K 3.90
La 0.0000 0.0000 0.5000  4 Bi 3.32
La 0.5000 0.5000 0.5000  4 Bi 3.32
Bi 0.1321 0.6321 0.5000  1 Bi 3.17, 2 La 3.32
Bi 0.3679 0.1321 0.5000  1 Bi 3.17, 2 La 3.32
Bi 0.6321 0.8679 0.5000  1 Bi 3.17, 2 La 3.32
Bi 0.8679 0.3679 0.5000  1 Bi 3.17, 2 La 3.32

=====

No. 5
Computed, not measured: a relaxed structure of KLaBi3 at the GGA-PBE level of DFT.

**D(E_F)**: 5.21 states/eV per cell
**Total moment**: 0.00 μB/f.u.
**E above lowest polymorph**: 0 meV/atom
**Space-group type**: Pm-3m (221)

a = 6.2316 Å, b = 6.2316 Å, c = 6.2316 Å
α = 90.00°, β = 90.00°, γ = 90.00°
Closest atoms and distances in Å follow each position.
Fractional coordinates of all 5 atoms:
K 0.0000 0.0000 0.0000  12 Bi 4.41
La 0.5000 0.5000 0.5000  6 Bi 3.12
Bi 0.0000 0.5000 0.5000  2 La 3.12
Bi 0.5000 0.0000 0.5000  2 La 3.12
Bi 0.5000 0.5000 0.0000  2 La 3.12

=====

No. 6
Computed, not measured: a relaxed structure of KLaBi2 at the GGA-PBE level of DFT.

**D(E_F)**: 27.07 states/eV per cell
**Total moment**: 0.00 μB/f.u.
**E above lowest polymorph**: 162 meV/atom
**Space-group type**: Fm-3m (225)

a = 8.2155 Å, b = 8.2155 Å, c = 8.2155 Å
α = 90.00°, β = 90.00°, γ = 90.00°
Closest atoms and distances in Å follow each position.
Fractional coordinates of all 16 atoms:
K 0.0000 0.0000 0.0000  8 Bi 3.56
K 0.0000 0.5000 0.5000  8 Bi 3.56
K 0.5000 0.0000 0.5000  8 Bi 3.56
K 0.5000 0.5000 0.0000  8 Bi 3.56
La 0.0000 0.0000 0.5000  8 Bi 3.56
La 0.0000 0.5000 0.0000  8 Bi 3.56
La 0.5000 0.0000 0.0000  8 Bi 3.56
La 0.5000 0.5000 0.5000  8 Bi 3.56
Bi 0.2500 0.2500 0.2500  4 La 3.56, 4 K 3.56
Bi 0.2500 0.2500 0.7500  4 La 3.56, 4 K 3.56
Bi 0.2500 0.7500 0.2500  4 La 3.56, 4 K 3.56
Bi 0.2500 0.7500 0.7500  4 La 3.56, 4 K 3.56
Bi 0.7500 0.2500 0.2500  4 La 3.56, 4 K 3.56
Bi 0.7500 0.2500 0.7500  4 La 3.56, 4 K 3.56
Bi 0.7500 0.7500 0.2500  4 La 3.56, 4 K 3.56
Bi 0.7500 0.7500 0.7500  4 K 3.56, 4 La 3.56

=====

No. 7
Computed, not measured: a relaxed structure of KLaBi at the GGA-PBE level of DFT.

**D(E_F)**: 4.88 states/eV per cell
**Total moment**: 0.63 μB/f.u.
**DFT total energy**: -3.77 eV/atom
**Space-group type**: R-3m (166)

a = 13.2849 Å, b = 13.2849 Å, c = 13.2849 Å
α = 23.00°, β = 23.00°, γ = 23.00°
Closest atoms and distances in Å follow each position.
Fractional coordinates of all 6 atoms:
K 0.1135 0.1135 0.1135  3 Bi 3.70
K 0.8865 0.8865 0.8865  3 Bi 3.70
La 0.3020 0.3020 0.3020  4 Bi 3.25-3.53
La 0.6980 0.6980 0.6980  4 Bi 3.25-3.53
Bi 0.3930 0.3930 0.3930  4 La 3.25-3.53
Bi 0.6070 0.6070 0.6070  4 La 3.25-3.53

=====

No. 8
Computed, not measured: a relaxed structure of KLaBi2 at the GGA-PBE level of DFT.

**D(E_F)**: 2.24 states/eV per cell
**Total moment**: 0.00 μB/f.u.
**E above lowest polymorph**: 0 meV/atom
**Space-group type**: P4/mmm (123)

a = 4.3931 Å, b = 4.3931 Å, c = 7.7550 Å
α = 90.00°, β = 90.00°, γ = 90.00°
Closest atoms and distances in Å follow each position.
Fractional coordinates of all 4 atoms:
K 0.0000 0.0000 0.0000  8 Bi 3.87, 2 La 3.88
La 0.0000 0.0000 0.5000  8 Bi 3.48, 2 K 3.88
Bi 0.5000 0.5000 0.2986  1 Bi 3.12, 4 La 3.48
Bi 0.5000 0.5000 0.7014  1 Bi 3.12, 4 La 3.48

=====

No. 9
Computed, not measured: a relaxed structure of KLaBi2 at the GGA-PBE level of DFT.

**D(E_F)**: 11.42 states/eV per cell
**Total moment**: 0.00 μB/f.u.
**E above lowest polymorph**: 191 meV/atom
**Space-group type**: R-3m (166)

a = 5.0885 Å, b = 5.0885 Å, c = 22.6029 Å
α = 90.00°, β = 90.00°, γ = 120.00°
Closest atoms and distances in Å follow each position.
Fractional coordinates of all 12 atoms:
K 0.0000 0.0000 0.0000  6 Bi 3.73
K 0.3333 0.6667 0.6667  6 Bi 3.73
K 0.6667 0.3333 0.3333  6 Bi 3.73
La 0.0000 0.0000 0.5000  6 Bi 3.29
La 0.3333 0.6667 0.1667  6 Bi 3.29
La 0.6667 0.3333 0.8333  6 Bi 3.29
Bi 0.0000 0.0000 0.2319  3 La 3.29
Bi 0.0000 0.0000 0.7681  3 La 3.29
Bi 0.3333 0.6667 0.4347  3 La 3.29
Bi 0.3333 0.6667 0.8986  3 La 3.29
Bi 0.6667 0.3333 0.1014  3 La 3.29
Bi 0.6667 0.3333 0.5653  3 La 3.29

=====

No. 10
Computed, not measured: a relaxed structure of KLa2Bi2 at the GGA-PBE level of DFT.

**D(E_F)**: 8.78 states/eV per cell
**Total moment**: 0.60 μB/f.u.
**E above lowest polymorph**: 0 meV/atom
**Space-group type**: P4/mbm (127)

a = 9.2455 Å, b = 9.2455 Å, c = 4.2596 Å
α = 90.00°, β = 90.00°, γ = 90.00°
Closest atoms and distances in Å follow each position.
Fractional coordinates of all 10 atoms:
K 0.0000 0.0000 0.0000  4 Bi 3.50
K 0.5000 0.5000 0.0000  4 Bi 3.50
La 0.1413 0.3587 0.5000  6 Bi 3.41-3.47, 1 La 3.69
La 0.3587 0.8587 0.5000  6 Bi 3.41-3.47, 1 La 3.69
La 0.6413 0.1413 0.5000  6 Bi 3.41-3.47, 1 La 3.69
La 0.8587 0.6413 0.5000  6 Bi 3.41-3.47, 1 La 3.69
Bi 0.1553 0.6553 0.0000  6 La 3.41-3.47, 2 K 3.50
Bi 0.3447 0.1553 0.0000  6 La 3.41-3.47, 2 K 3.50
Bi 0.6553 0.8447 0.0000  6 La 3.41-3.47, 2 K 3.50
Bi 0.8447 0.3447 0.0000  6 La 3.41-3.47, 2 K 3.50

=====

No. 11
Computed, not measured: a relaxed structure of KLa2Bi2 at the GGA-PBE level of DFT.

**D(E_F)**: 7.47 states/eV per cell
**Total moment**: 0.35 μB/f.u.
**E above lowest polymorph**: 188 meV/atom
**Space-group type**: I4/mmm (139)

a = 5.4239 Å, b = 5.4239 Å, c = 15.4605 Å
α = 90.00°, β = 90.00°, γ = 90.00°
Closest atoms and distances in Å follow each position.
Fractional coordinates of all 10 atoms:
K 0.0000 0.0000 0.0000  8 Bi 4.32, 8 La 4.72
K 0.5000 0.5000 0.5000  8 Bi 4.32, 8 La 4.72
La 0.0000 0.5000 0.2500  4 Bi 3.30
La 0.0000 0.5000 0.7500  4 Bi 3.30
La 0.5000 0.0000 0.2500  4 Bi 3.30
La 0.5000 0.0000 0.7500  4 Bi 3.30
Bi 0.0000 0.0000 0.3716  4 La 3.30
Bi 0.0000 0.0000 0.6284  4 La 3.30
Bi 0.5000 0.5000 0.1284  4 La 3.30
Bi 0.5000 0.5000 0.8716  4 La 3.30

=====

No. 12
Computed, not measured: a relaxed structure of KLaBi2 at the GGA-PBE level of DFT.

**D(E_F)**: 1.56 states/eV per cell
**Total moment**: 0.00 μB/f.u.
**E above lowest polymorph**: 245 meV/atom
**Space-group type**: I-42d (122)

a = 9.1261 Å, b = 9.1261 Å, c = 7.0935 Å
α = 90.00°, β = 90.00°, γ = 90.00°
Closest atoms and distances in Å follow each position.
Fractional coordinates of all 16 atoms:
K 0.0000 0.0000 0.0000  4 Bi 3.41, 2 La 3.55
K 0.0000 0.5000 0.2500  4 Bi 3.41, 2 La 3.55
K 0.5000 0.0000 0.7500  4 Bi 3.41, 2 La 3.55
K 0.5000 0.5000 0.5000  4 Bi 3.41, 2 La 3.55
La 0.0000 0.0000 0.5000  4 Bi 3.28, 2 K 3.55
La 0.0000 0.5000 0.7500  4 Bi 3.28, 2 K 3.55
La 0.5000 0.0000 0.2500  4 Bi 3.28, 2 K 3.55
La 0.5000 0.5000 0.0000  4 Bi 3.28, 2 K 3.55
Bi 0.2391 0.2500 0.6250  2 La 3.28, 2 K 3.41, 2 Bi 3.55
Bi 0.2500 0.7391 0.8750  2 La 3.28, 2 K 3.41, 2 Bi 3.55
Bi 0.2500 0.7609 0.3750  2 La 3.28, 2 K 3.41, 2 Bi 3.55
Bi 0.2609 0.2500 0.1250  2 La 3.28, 2 K 3.41, 2 Bi 3.55
Bi 0.7391 0.7500 0.1250  2 La 3.28, 2 K 3.41, 2 Bi 3.55
Bi 0.7500 0.2391 0.3750  2 La 3.28, 2 K 3.41, 2 Bi 3.55
Bi 0.7500 0.2609 0.8750  2 La 3.28, 2 K 3.41, 2 Bi 3.55
Bi 0.7609 0.7500 0.6250  2 La 3.28, 2 K 3.41, 2 Bi 3.55